Material: CrIn2Mo
Method: DFT, PBE
State: relaxed

a b c (Å): 5.210 5.210 5.210
angles (deg): 133.37 133.37 68.07
Positions (direct):
Cr1 0.000 0.000 0.000
In1 0.250 0.750 0.500
In2 0.500 0.500 0.000
Mo1 0.750 0.250 0.500

**Energy relative to the lowest polymorph listed for this composition**: 225.3 meV/atom
**Energy**: -6.024 eV per atom
**Energy of formation**: 0.459 eV/atom
**Mass density**: 8.538 g cm⁻³
**M_tot**: 2.0 Bohr magnetons per cell

=====

Material: RbIO3F
Method: DFT, PBE
State: relaxed

a b c (Å): 9.180 9.180 6.282
angles (deg): 93.32 93.32 147.99
Positions (direct):
Rb1 0.213 0.787 0.750
Rb2 0.787 0.213 0.250
I1 0.488 0.512 0.250
I2 0.512 0.488 0.750
O1 0.239 0.240 0.452
O2 0.240 0.239 0.952
O3 0.388 0.612 0.250
O4 0.612 0.388 0.750
O5 0.760 0.761 0.048
O6 0.761 0.760 0.548
F1 0.217 0.783 0.250
F2 0.783 0.217 0.750

**Energy**: -3.954 eV per atom
**Energy relative to the elements, uncorrected**: -743.5 meV per atom
**Mass density**: 3.383 g cm⁻³
**M_tot**: 0.4 Bohr magnetons per cell

=====

Material: LaAl2Hg
Method: DFT, PBE
State: relaxed

a b c (Å): 4.587 4.587 4.503
angles (deg): 90.00 90.00 90.00
Positions (direct):
La1 0.000 0.000 0.000
Al1 0.000 0.500 0.500
Al2 0.500 0.000 0.500
Hg1 0.500 0.500 0.000

**Energy**: -3.445 eV per atom
**Energy of formation**: -0.267 eV/atom
**Mass density**: 6.897 g cm⁻³
**M_tot**: 0.0 Bohr magnetons per cell

=====

Material: U2Si3Ir4Pd
Method: DFT, PBE
State: relaxed

a b c (Å): 3.948 3.948 10.999
angles (deg): 90.00 90.00 90.00
Positions (direct):
U1 0.000 0.500 0.246
U2 0.500 0.000 0.754
Si1 0.000 0.000 0.000
Si2 0.000 0.500 0.620
Si3 0.500 0.000 0.380
Ir1 0.000 0.000 0.500
Ir2 0.000 0.500 0.831
Ir3 0.500 0.000 0.169
Ir4 0.500 0.500 0.500
Pd1 0.500 0.500 0.000

**Energy**: -8.625 eV per atom
**Energy relative to the elements, uncorrected**: -676.8 meV per atom
**Mass density**: 13.905 g cm⁻³
**M_tot**: 3.0 Bohr magnetons per cell

=====

Material: La4NdDy2Ho
Method: DFT, PBE
State: relaxed

a b c (Å): 6.007 6.007 7.716
angles (deg): 90.00 90.00 90.00
Positions (direct):
La1 0.000 0.500 0.243
La2 0.000 0.500 0.757
La3 0.500 0.000 0.243
La4 0.500 0.000 0.757
Nd1 0.000 0.000 0.500
Dy1 0.000 0.000 0.000
Dy2 0.500 0.500 0.500
Ho1 0.500 0.500 0.000

**Energy**: -4.698 eV per atom
**Energy of formation**: 0.085 eV/atom
**Mass density**: 7.097 g cm⁻³
**M_tot**: 0.0 Bohr magnetons per cell

=====

Material: Y2Sc2Sb2H
Method: DFT, PBE
State: relaxed

a b c (Å): 8.757 8.757 8.757
angles (deg): 151.41 151.41 40.88
Positions (direct):
Y1 0.178 0.178 0.000
Y2 0.822 0.822 0.000
Sc1 0.000 0.500 0.500
Sc2 0.500 0.000 0.500
Sb1 0.369 0.369 0.000
Sb2 0.631 0.631 0.000
H1 0.000 0.000 0.000

**Energy**: -6.170 eV per atom
**Mass density**: 5.541 g cm⁻³
**M_tot**: 1.4 Bohr magnetons per cell

=====

Material: Hg2AsW
Method: DFT, PBE
State: relaxed

a b c (Å): 5.847 5.847 2.981
angles (deg): 97.95 97.95 125.49
Positions (direct):
Hg1 0.000 0.500 0.000
Hg2 0.500 0.000 0.000
As1 0.000 0.000 0.500
W1 0.500 0.500 0.500

**Energy**: -3.729 eV per atom
**Energy of formation**: 0.822 eV/atom
**Mass density**: 13.853 g cm⁻³
**M_tot**: 0.0 Bohr magnetons per cell

=====

Material: Ca5C3
Method: DFT, PBE
State: relaxed

a b c (Å): 3.176 3.176 16.459
angles (deg): 90.00 90.00 90.00
Positions (direct):
Ca1 0.000 0.000 0.000
Ca2 0.000 0.000 0.186
Ca3 0.000 0.000 0.814
Ca4 0.500 0.500 0.414
Ca5 0.500 0.500 0.586
C1 0.000 0.000 0.500
C2 0.500 0.500 0.108
C3 0.500 0.500 0.892

**Energy relative to the lowest polymorph listed for this composition**: 116.6 meV/atom
**Energy**: -4.044 eV per atom
**Energy of formation**: 0.666 eV/atom
**Mass density**: 2.365 g cm⁻³
**M_tot**: 0.0 Bohr magnetons per cell